[1]
Material: KZn2S
Method: DFT, PBE
State: relaxed

The space group is I-42d (No. 122) and the conventional cell measures 8.298, 8.298 and 5.805 Å, with angles of 90.00, 90.00 and 90.00 degrees. Symmetry generates all atoms from K at (0.000, 0.000, 0.000), Zn at (0.173, 0.250, 0.625) and S at (0.000, 0.000, 0.500).

[2]
Material: CaPuCl4
Method: DFT, PBE
State: relaxed

The calculation puts the offset from the most stable computed form at 6.0 meV per atom.

The space group is P2_1/c (No. 14) and the conventional cell measures 7.927, 6.464 and 7.852 Å, with angles of 90.00, 114.72 and 90.00 degrees. Symmetry generates all atoms from Ca at (0.000, 0.000, 0.000), Pu at (0.500, 0.000, 0.500), Cl at (0.156, 0.226, 0.330) and Cl at (0.330, 0.715, 0.654).

Table of size of the total moment (μB per formula unit), in record order: 0.0 6.0
Table of ΔE_f (raw) (eV/atom), in record order: -0.1389 -2.0381
Table of N(E_F) (states/eV/f.u.), in record order: 2.2 15.5